# 1
A geometry-optimized Tc2TeW structure. Source: Alexandria via LeMat-Bulk, functional GGA-PBE.

```
8
Lattice="9.136 0.000 0.000 0.000 3.106 0.000 -0.921 0.000 4.783" Properties=species:S:1:pos:R:3 pbc="T T T"
Tc 1.946 0.000 1.041
Tc 1.700 1.553 3.742
Tc 6.514 1.553 1.041
Tc 6.268 0.000 3.742
Te -0.461 0.000 2.392
Te 4.107 1.553 2.392
W 0.000 1.553 0.000
W 4.568 0.000 0.000
```

**Formation energy from raw total energies**: 0.48 eV per atom
**Theoretical density**: 12.42 g cm⁻³
**Spin magnetization**: 0.000 Bohr magnetons per cell

# 2
A geometry-optimized Tc2TeW structure. Source: Alexandria via LeMat-Bulk, functional GGA-PBE.

```
4
Lattice="3.112 0.000 0.000 0.000 3.112 0.000 0.000 0.000 6.845" Properties=species:S:1:pos:R:3 pbc="T T T"
Tc 0.000 0.000 0.000
Tc 1.556 1.556 1.617
Te 0.000 0.000 3.367
W 1.556 1.556 5.237
```

**Formation energy from raw total energies**: 0.38 eV per atom
**Theoretical density**: 12.71 g cm⁻³
**Spin magnetization**: 0.000 Bohr magnetons per cell

# 3
A geometry-optimized TcTeW2 structure. Source: Alexandria via LeMat-Bulk, functional GGA-PBE.

```
8
Lattice="3.223 0.000 0.000 0.000 4.532 0.000 0.000 0.000 9.172" Properties=species:S:1:pos:R:3 pbc="T T T"
Tc 0.000 0.000 0.000
Tc 1.611 2.266 4.586
Te 0.000 2.266 6.766
Te 1.611 0.000 2.180
W 0.000 0.000 4.436
W 0.000 2.266 2.220
W 1.611 0.000 6.806
W 1.611 2.266 9.022
```

**Formation energy from raw total energies**: 0.58 eV per atom
**Theoretical density**: 14.71 g cm⁻³
**Spin magnetization**: 0.000 Bohr magnetons per cell

# 4
A geometry-optimized Tc2TeW structure. Source: Alexandria via LeMat-Bulk, functional GGA-PBE.

```
16
Lattice="6.417 0.000 0.000 0.000 6.417 0.000 0.000 0.000 6.417" Properties=species:S:1:pos:R:3 pbc="T T T"
Tc 0.000 0.000 0.000
Tc 0.000 3.208 3.208
Tc 1.604 1.604 1.604
Tc 1.604 4.813 4.813
Tc 3.208 0.000 3.208
Tc 3.208 3.208 0.000
Tc 4.813 1.604 4.813
Tc 4.813 4.813 1.604
Te 1.604 1.604 4.813
Te 1.604 4.813 1.604
Te 4.813 1.604 1.604
Te 4.813 4.813 4.813
W 0.000 0.000 3.208
W 0.000 3.208 0.000
W 3.208 0.000 0.000
W 3.208 3.208 3.208
```

**Formation energy from raw total energies**: 0.60 eV per atom
**Theoretical density**: 12.76 g cm⁻³
**Spin magnetization**: 3.760 Bohr magnetons per cell

# 5
A geometry-optimized Tc2TeW structure. Source: Alexandria via LeMat-Bulk, functional GGA-PBE.

```
4
Lattice="3.165 0.000 0.000 0.000 3.165 0.000 0.000 0.000 6.727" Properties=species:S:1:pos:R:3 pbc="T T T"
Tc 0.000 0.000 1.531
Tc 0.000 0.000 5.196
Te 1.582 1.582 3.364
W 1.582 1.582 0.000
```

**Formation energy from raw total energies**: 0.22 eV per atom
**Theoretical density**: 12.51 g cm⁻³
**Spin magnetization**: 0.000 Bohr magnetons per cell

# 6
A geometry-optimized TcTeW2 structure. Source: Alexandria via LeMat-Bulk, functional GGA-PBE.

```
8
Lattice="3.181 0.000 0.000 0.000 4.751 0.000 0.000 0.000 9.492" Properties=species:S:1:pos:R:3 pbc="T T T"
Tc 0.000 0.000 0.000
Tc 1.591 2.376 0.000
Te 0.000 0.000 4.746
Te 1.591 2.376 4.746
W 0.000 2.376 2.099
W 0.000 2.376 7.393
W 1.591 0.000 2.099
W 1.591 0.000 7.393
```

**Formation energy from raw total energies**: 0.77 eV per atom
**Theoretical density**: 13.73 g cm⁻³
**Spin magnetization**: 0.000 Bohr magnetons per cell

# 7
A geometry-optimized Tc2TeW structure. Source: Alexandria via LeMat-Bulk, functional GGA-PBE.

```
8
Lattice="3.184 0.000 0.000 0.000 4.768 0.000 0.000 0.000 9.264" Properties=species:S:1:pos:R:3 pbc="T T T"
Tc 0.000 0.000 0.000
Tc 0.000 2.384 2.052
Tc 1.592 0.000 2.052
Tc 1.592 2.384 0.000
Te 0.000 0.000 4.548
Te 1.592 2.384 4.548
W 0.000 2.384 7.196
W 1.592 0.000 7.196
```

**Formation energy from raw total energies**: 0.76 eV per atom
**Theoretical density**: 11.98 g cm⁻³
**Spin magnetization**: 0.000 Bohr magnetons per cell

# 8
A geometry-optimized Tc2TeW structure. Source: Alexandria via LeMat-Bulk, functional GGA-PBE.

```
16
Lattice="5.858 0.000 0.000 0.000 5.858 0.000 0.000 0.000 11.390" Properties=species:S:1:pos:R:3 pbc="T T T"
Tc 1.330 1.465 1.424
Tc 1.465 4.259 4.271
Tc 1.465 4.528 9.966
Tc 1.599 1.465 7.119
Tc 4.259 4.394 7.119
Tc 4.394 1.330 9.966
Tc 4.394 1.599 4.271
Tc 4.528 4.394 1.424
Te 0.000 0.000 5.695
Te 0.000 2.929 8.542
Te 2.929 0.000 2.847
Te 2.929 2.929 0.000
W 0.000 0.000 0.000
W 0.000 2.929 2.847
W 2.929 0.000 8.542
W 2.929 2.929 5.695
```

**Formation energy from raw total energies**: 1.07 eV per atom
**Theoretical density**: 8.62 g cm⁻³
**Spin magnetization**: 0.000 Bohr magnetons per cell

# 9
A geometry-optimized TcTeW2 structure. Source: Alexandria via LeMat-Bulk, functional GGA-PBE.

```
16
Lattice="6.481 0.000 0.000 0.000 6.481 0.000 0.000 0.000 6.481" Properties=species:S:1:pos:R:3 pbc="T T T"
Tc 0.000 0.000 0.000
Tc 0.000 3.241 3.241
Tc 3.241 0.000 3.241
Tc 3.241 3.241 0.000
Te 0.000 0.000 3.241
Te 0.000 3.241 0.000
Te 3.241 0.000 0.000
Te 3.241 3.241 3.241
W 1.620 1.620 1.620
W 1.620 1.620 4.861
W 1.620 4.861 1.620
W 1.620 4.861 4.861
W 4.861 1.620 1.620
W 4.861 1.620 4.861
W 4.861 4.861 1.620
W 4.861 4.861 4.861
```

**Formation energy from raw total energies**: 0.76 eV per atom
**Theoretical density**: 14.48 g cm⁻³
**Spin magnetization**: 0.000 Bohr magnetons per cell

# 10
A geometry-optimized TcTeW2 structure. Source: Alexandria via LeMat-Bulk, functional GGA-PBE.

```
16
Lattice="3.846 0.000 0.000 0.000 3.846 0.000 0.000 0.000 19.765" Properties=species:S:1:pos:R:3 pbc="T T T"
Tc 0.000 0.000 0.000
Tc 0.000 1.923 4.941
Tc 1.923 0.000 14.824
Tc 1.923 1.923 9.882
Te 0.000 0.000 9.882
Te 0.000 1.923 14.824
Te 1.923 0.000 4.941
Te 1.923 1.923 0.000
W 0.950 0.962 2.471
W 0.962 2.873 7.412
W 0.962 2.896 17.294
W 0.973 0.962 12.353
W 2.873 2.885 12.353
W 2.885 0.950 17.294
W 2.885 0.973 7.412
W 2.896 2.885 2.471
```

**Formation energy from raw total energies**: 0.98 eV per atom
**Theoretical density**: 13.48 g cm⁻³
**Spin magnetization**: 0.000 Bohr magnetons per cell

# 11
A geometry-optimized TcTeW structure. Source: Alexandria via LeMat-Bulk, functional GGA-PBE.

```
3
Lattice="4.477 0.000 0.000 -2.238 3.877 0.000 0.000 0.000 2.992" Properties=species:S:1:pos:R:3 pbc="T T T"
Tc 0.000 0.000 0.000
Te 2.238 1.292 0.000
W 0.000 2.585 1.496
```

**Formation energy from raw total energies**: 0.61 eV per atom
**Theoretical density**: 13.09 g cm⁻³
**Spin magnetization**: 0.000 Bohr magnetons per cell

# 12
A geometry-optimized Tc2TeW structure. Source: Alexandria via LeMat-Bulk, functional GGA-PBE.

```
4
Lattice="3.044 0.000 0.000 0.000 4.022 0.000 -0.025 0.000 5.491" Properties=species:S:1:pos:R:3 pbc="T T T"
Tc -0.003 0.000 1.267
Tc 3.022 0.000 4.224
Te 1.510 2.011 2.745
W 1.522 2.011 0.000
```

**Formation energy from raw total energies**: 0.48 eV per atom
**Theoretical density**: 12.53 g cm⁻³
**Spin magnetization**: 0.000 Bohr magnetons per cell